Record 1
Below is Y3Co8Sn4 at its PBEsol-relaxed geometry, with properties calculated at the SCAN level.

a b c (Å): 7.336 8.745 8.745
angles (deg): 120.00 90.00 90.00
Each line ends with the local moment (μB).
Fractional coordinates of all 30 atoms:
1 Y 0.500 0.530 0.470  -0.09
2 Y 0.000 0.470 0.530  -0.09
3 Y 0.500 0.530 0.059  -0.09
4 Y 0.500 0.941 0.470  -0.09
5 Y 0.000 0.059 0.530  -0.09
6 Y 0.000 0.470 0.941  -0.09
7 Co 0.022 0.806 0.903  1.62
8 Co 0.277 0.000 0.000  1.74
9 Co 0.777 0.000 0.000  1.74
10 Co 0.208 0.667 0.333  -0.65
11 Co 0.708 0.333 0.667  -0.65
12 Co 0.522 0.903 0.097  1.62
13 Co 0.332 0.159 0.841  1.46
14 Co 0.832 0.841 0.683  1.46
15 Co 0.832 0.317 0.159  1.46
16 Co 0.332 0.683 0.841  1.46
17 Co 0.332 0.159 0.317  1.46
18 Co 0.832 0.841 0.159  1.46
19 Co 0.022 0.097 0.903  1.62
20 Co 0.522 0.903 0.806  1.62
21 Co 0.522 0.194 0.097  1.62
22 Co 0.022 0.097 0.194  1.62
23 Sn 0.703 0.171 0.829  -0.01
24 Sn 0.203 0.829 0.658  -0.01
25 Sn 0.203 0.342 0.171  -0.01
26 Sn 0.703 0.658 0.829  -0.01
27 Sn 0.703 0.171 0.342  -0.01
28 Sn 0.203 0.829 0.171  -0.01
29 Sn 0.335 0.333 0.667  -0.01
30 Sn 0.835 0.667 0.333  -0.01

## Properties
- ΔH_f (0 K): -0.287 eV per atom
- SG: No. 186

---

Record 2
Below is Zr18Co5Sn4 at its PBEsol-relaxed geometry, with properties calculated at the SCAN level.

a b c (Å): 3.335 7.856 20.731
angles (deg): 100.90 90.00 90.00
Fractional coordinates of all 27 atoms:
1 Zr 0.000 0.244 0.002
2 Zr 0.000 0.575 0.663
3 Zr 0.000 0.907 0.330
4 Zr 0.000 0.252 0.748
5 Zr 0.000 0.589 0.413
6 Zr 0.000 0.926 0.083
7 Zr 0.000 0.837 0.921
8 Zr 0.000 0.170 0.584
9 Zr 0.000 0.498 0.254
10 Zr 0.500 0.936 0.665
11 Zr 0.500 0.261 0.350
12 Zr 0.500 0.599 0.018
13 Zr 0.500 0.132 0.869
14 Zr 0.500 0.432 0.520
15 Zr 0.500 0.762 0.188
16 Zr 0.500 0.592 0.798
17 Zr 0.500 0.976 0.461
18 Zr 0.500 0.310 0.132
19 Co 0.500 0.000 0.002
20 Co 0.500 0.334 0.665
21 Co 0.500 0.668 0.332
22 Co 0.000 0.221 0.443
23 Co 0.000 0.558 0.113
24 Sn 0.000 0.451 0.895
25 Sn 0.000 0.773 0.549
26 Sn 0.000 0.111 0.223
27 Sn 0.000 0.886 0.778

## Properties
- ΔH_f (0 K): -0.376 eV per atom
- SG: No. 6

---

Record 3
Below is ZrCoSn3 at its PBEsol-relaxed geometry, with properties calculated at the SCAN level.

a b c (Å): 4.804 4.804 4.804
angles (deg): 90.00 90.00 90.00
Each line ends with the local moment (μB).
Fractional coordinates of all 5 atoms:
1 Co 0.000 0.000 0.000  0.42
2 Sn 0.000 0.500 0.000  0.02
3 Sn 0.000 0.000 0.500  0.02
4 Sn 0.500 0.000 0.000  0.02
5 Zr 0.500 0.500 0.500  0.60

## Properties
- ΔH_f (0 K): 0.423 eV per atom
- SG: No. 221

---

Record 4
Below is SrTa2Co at its PBEsol-relaxed geometry, with properties calculated at the SCAN level.

a b c (Å): 2.875 2.875 9.241
angles (deg): 90.00 90.00 90.00
Each line ends with the local moment (μB).
Fractional coordinates of all 4 atoms:
1 Co 0.500 0.500 0.000  1.59
2 Sr 0.500 0.500 0.500  0.03
3 Ta 0.000 0.000 0.822  0.21
4 Ta 0.000 0.000 0.178  0.21

## Properties
- ΔH_f (0 K): 0.553 eV per atom
- SG: No. 123
- Excess energy over the best structure of this formula in the dataset: 0 meV per atom

---

Record 5
Below is Sr2TaCo at its PBEsol-relaxed geometry, with properties calculated at the SCAN level.

a b c (Å): 3.475 5.534 6.364
angles (deg): 115.77 105.84 90.00
Fractional coordinates of all 4 atoms:
1 Co 0.210 0.210 0.419
2 Sr 0.958 0.458 0.915
3 Sr 0.759 0.759 0.518
4 Ta 0.574 0.074 0.147

## Properties
- ΔH_f (0 K): 0.645 eV per atom
- SG: No. 44
- Excess energy over the best structure of this formula in the dataset: 0 meV per atom

---

Record 6
Below is Sr2TaCo at its PBEsol-relaxed geometry, with properties calculated at the SCAN level.

a b c (Å): 4.077 4.077 5.972
angles (deg): 109.96 109.96 90.00
Each line ends with the local moment (μB).
Fractional coordinates of all 4 atoms:
1 Co 0.000 0.000 0.000  1.66
2 Sr 0.750 0.250 0.500  -0.04
3 Sr 0.250 0.750 0.500  -0.04
4 Ta 0.500 0.500 0.000  -0.50

## Properties
- ΔH_f (0 K): 1.299 eV per atom
- SG: No. 139
- Excess energy over the best structure of this formula in the dataset: 654 meV per atom

---

Record 7
Below is SrTaCo2 at its PBEsol-relaxed geometry, with properties calculated at the SCAN level.

a b c (Å): 4.514 4.514 4.514
angles (deg): 60.00 60.00 60.00
Each line ends with the local moment (μB).
Fractional coordinates of all 4 atoms:
1 Sr 0.000 0.000 0.000  -0.13
2 Co 0.250 0.250 0.250  1.31
3 Co 0.750 0.750 0.750  1.31
4 Ta 0.500 0.500 0.500  -0.51

## Properties
- ΔH_f (0 K): 0.700 eV per atom
- SG: No. 225
- Excess energy over the best structure of this formula in the dataset: 513 meV per atom

---

Record 8
Below is SrTa2Co at its PBEsol-relaxed geometry, with properties calculated at the SCAN level.

a b c (Å): 2.877 3.594 7.811
angles (deg): 90.00 92.63 90.00
Each line ends with the local moment (μB).
Fractional coordinates of all 4 atoms:
1 Co 0.500 0.500 0.000  1.10
2 Sr 0.500 0.500 0.500  0.02
3 Ta 0.072 0.000 0.839  0.04
4 Ta 0.928 0.000 0.161  0.04

## Properties
- ΔH_f (0 K): 0.615 eV per atom
- SG: No. 10
- Excess energy over the best structure of this formula in the dataset: 62 meV per atom

---

Record 9
Below is SrTaCo2 at its PBEsol-relaxed geometry, with properties calculated at the SCAN level.

a b c (Å): 3.082 3.082 7.177
angles (deg): 90.00 90.00 90.00
Each line ends with the local moment (μB).
Fractional coordinates of all 4 atoms:
1 Sr 0.500 0.500 0.000  -0.08
2 Co 0.000 0.000 0.683  1.18
3 Co 0.000 0.000 0.317  1.18
4 Ta 0.500 0.500 0.500  -0.27

## Properties
- ΔH_f (0 K): 0.186 eV per atom
- SG: No. 123
- Excess energy over the best structure of this formula in the dataset: 0 meV per atom

---

Record 10
Below is SrTa2Co at its PBEsol-relaxed geometry, with properties calculated at the SCAN level.

a b c (Å): 4.717 4.717 4.717
angles (deg): 60.00 60.00 60.00
Each line ends with the local moment (μB).
Fractional coordinates of all 4 atoms:
1 Co 0.500 0.500 0.500  1.76
2 Sr 0.250 0.250 0.250  0.00
3 Ta 0.000 0.000 0.000  0.24
4 Ta 0.750 0.750 0.750  -0.03

## Properties
- ΔH_f (0 K): 0.987 eV per atom
- SG: No. 216
- Excess energy over the best structure of this formula in the dataset: 434 meV per atom

---

Record 11
Below is Sr2CoTc at its PBEsol-relaxed geometry, with properties calculated at the SCAN level.

a b c (Å): 3.576 5.147 5.147
angles (deg): 104.92 90.00 90.00
Each line ends with the local moment (μB).
Fractional coordinates of all 4 atoms:
1 Co 0.500 0.500 0.500  1.82
2 Sr 0.000 0.500 0.000  -0.06
3 Sr 0.000 0.000 0.500  -0.06
4 Tc 0.500 0.000 0.000  1.96

## Properties
- ΔH_f (0 K): 0.990 eV per atom
- SG: No. 65
- Excess energy over the best structure of this formula in the dataset: 27 meV per atom

---

Record 12
Below is SrCoTc2 at its PBEsol-relaxed geometry, with properties calculated at the SCAN level.

a b c (Å): 3.183 4.478 4.478
angles (deg): 90.00 90.00 90.00
Each line ends with the local moment (μB).
Fractional coordinates of all 4 atoms:
1 Co 0.500 0.500 0.500  1.85
2 Sr 0.500 0.000 0.000  0.03
3 Tc 0.000 0.000 0.500  1.05
4 Tc 0.000 0.500 0.000  1.05

## Properties
- ΔH_f (0 K): 1.361 eV per atom
- SG: No. 123
- Excess energy over the best structure of this formula in the dataset: 926 meV per atom

---

Record 13
Below is Sr2CoTc at its PBEsol-relaxed geometry, with properties calculated at the SCAN level.

a b c (Å): 5.124 5.124 5.124
angles (deg): 60.00 60.00 60.00
Each line ends with the local moment (μB).
Fractional coordinates of all 4 atoms:
1 Co 0.000 0.000 0.000  1.82
2 Sr 0.250 0.250 0.250  -0.04
3 Sr 0.750 0.750 0.750  -0.04
4 Tc 0.500 0.500 0.500  2.53

## Properties
- ΔH_f (0 K): 0.963 eV per atom
- SG: No. 225
- Excess energy over the best structure of this formula in the dataset: 0 meV per atom

---

Record 14
Below is SrCoTc2 at its PBEsol-relaxed geometry, with properties calculated at the SCAN level.

a b c (Å): 2.629 5.160 5.536
angles (deg): 114.60 98.04 102.09
Each line ends with the local moment (μB).
Fractional coordinates of all 4 atoms:
1 Co 0.000 0.500 0.000  1.80
2 Sr 0.500 0.000 0.000  -0.04
3 Tc 0.500 0.500 0.500  0.09
4 Tc 0.000 0.000 0.500  0.09

## Properties
- ΔH_f (0 K): 0.964 eV per atom
- SG: No. 12
- Excess energy over the best structure of this formula in the dataset: 529 meV per atom

---

Record 15
Below is Sr2CoTc at its PBEsol-relaxed geometry, with properties calculated at the SCAN level.

a b c (Å): 4.966 4.966 4.966
angles (deg): 60.00 60.00 60.00
Each line ends with the local moment (μB).
Fractional coordinates of all 4 atoms:
1 Co 0.750 0.750 0.750  1.93
2 Sr 0.000 0.000 0.000  -0.12
3 Sr 0.250 0.250 0.250  -0.02
4 Tc 0.500 0.500 0.500  2.00

## Properties
- ΔH_f (0 K): 1.008 eV per atom
- SG: No. 216
- Excess energy over the best structure of this formula in the dataset: 46 meV per atom

---

Record 16
Below is SrCoTc2 at its PBEsol-relaxed geometry, with properties calculated at the SCAN level.

a b c (Å): 3.082 3.082 7.352
angles (deg): 90.00 90.00 90.00
Each line ends with the local moment (μB).
Fractional coordinates of all 4 atoms:
1 Co 0.500 0.500 0.431  1.77
2 Sr 0.000 0.000 0.741  0.01
3 Tc 0.500 0.500 0.074  -0.01
4 Tc 0.000 0.000 0.254  0.33

## Properties
- ΔH_f (0 K): 0.435 eV per atom
- SG: No. 99
- Excess energy over the best structure of this formula in the dataset: 0 meV per atom

---

Record 17
Below is SrCoTe at its PBEsol-relaxed geometry, with properties calculated at the SCAN level.

a b c (Å): 4.254 4.254 4.564
angles (deg): 90.00 90.00 120.00
Each line ends with the local moment (μB).
Fractional coordinates of all 3 atoms:
1 Sr 0.333 0.667 0.000  -0.05
2 Te 0.667 0.333 0.500  0.02
3 Co 0.000 0.000 0.500  1.00

## Properties
- SG: No. 187
- Excess energy over the best structure of this formula in the dataset: 0 meV per atom
- Formation energy from raw total energies: -538.1 meV/atom

---

Record 18
Below is SrCoTe at its PBEsol-relaxed geometry, with properties calculated at the SCAN level.

a b c (Å): 4.833 4.833 4.833
angles (deg): 60.00 60.00 60.00
Each line ends with the local moment (μB).
Fractional coordinates of all 3 atoms:
1 Co 0.000 0.000 0.000  1.59
2 Sr 0.500 0.500 0.500  -0.08
3 Te 0.250 0.250 0.250  0.04

## Properties
- SG: No. 216
- Excess energy over the best structure of this formula in the dataset: 650 meV per atom
- Formation energy from raw total energies: 111.5 meV/atom

---

Record 19
Below is SrTlCo2 at its PBEsol-relaxed geometry, with properties calculated at the SCAN level.

a b c (Å): 3.448 4.516 4.516
angles (deg): 90.02 90.01 90.01
Each line ends with the local moment (μB).
Fractional coordinates of all 4 atoms:
1 Sr 0.500 0.500 0.500  -0.12
2 Tl 0.500 0.000 0.000  -0.06
3 Co 0.000 0.000 0.500  1.64
4 Co 0.000 0.500 0.000  1.64

## Properties
- ΔH_f (0 K): 0.664 eV per atom
- SG: No. 123
- Excess energy over the best structure of this formula in the dataset: 127 meV per atom

---

Record 20
Below is SrTlCo2 at its PBEsol-relaxed geometry, with properties calculated at the SCAN level.

a b c (Å): 3.495 3.495 6.562
angles (deg): 90.00 90.00 90.00
Each line ends with the local moment (μB).
Fractional coordinates of all 4 atoms:
1 Sr 0.500 0.500 0.000  -0.06
2 Tl 0.500 0.500 0.500  -0.05
3 Co 0.000 0.000 0.672  1.52
4 Co 0.000 0.000 0.328  1.52

## Properties
- ΔH_f (0 K): 0.536 eV per atom
- SG: No. 123
- Excess energy over the best structure of this formula in the dataset: 0 meV per atom